Arrangement i

Y2Ho2Al3: optimized geometry, GGA-PBE.

- density of states at the Fermi level (states/eV/f.u.) = 4.27
- space-group type = Cmmm, No. 65

```
data_Y2Ho2Al3
_chemical_formula_sum 'Y2 Ho2 Al3'
_cell_length_a 3.518
_cell_length_b 3.524
_cell_length_c 14.376
_cell_angle_alpha 90.00
_cell_angle_beta 82.97
_cell_angle_gamma 90.00
_symmetry_space_group_name_H-M 'P 1'
_symmetry_Int_Tables_number 1
_symmetry_space_group_name_Hall 'P 1'
loop_
_atom_site_label
_atom_site_type_symbol
_atom_site_fract_x
_atom_site_fract_y
_atom_site_fract_z
_atom_site_occupancy
Y1 Y 0.565 0.500 0.869 1
Y2 Y 0.435 0.500 0.131 1
Ho1 Ho 0.695 0.500 0.610 1
Ho2 Ho 0.305 0.500 0.390 1
Al1 Al 0.868 0.000 0.264 1
Al2 Al 0.000 0.000 0.000 1
Al3 Al 0.132 0.000 0.736 1
```

=====

Arrangement ii

Y2Ho2Al3: optimized geometry, GGA-PBE.

- density of states at the Fermi level (states/eV/f.u.) = 7.62
- space-group type = C2/m, No. 12

```
data_Y2Ho2Al3
_chemical_formula_sum 'Y2 Ho2 Al3'
_cell_length_a 3.788
_cell_length_b 6.208
_cell_length_c 8.734
_cell_angle_alpha 113.15
_cell_angle_beta 89.98
_cell_angle_gamma 107.79
_symmetry_space_group_name_H-M 'P 1'
_symmetry_Int_Tables_number 1
_symmetry_space_group_name_Hall 'P 1'
loop_
_atom_site_label
_atom_site_type_symbol
_atom_site_fract_x
_atom_site_fract_y
_atom_site_fract_z
_atom_site_occupancy
Y1 Y 0.880 0.761 0.549 1
Y2 Y 0.120 0.239 0.451 1
Ho1 Ho 0.640 0.281 0.827 1
Ho2 Ho 0.360 0.719 0.173 1
Al1 Al 0.000 0.000 0.000 1
Al2 Al 0.656 0.312 0.198 1
Al3 Al 0.344 0.688 0.802 1
```

=====

The data favor arrangement i; the next most stable structure lies 1.2 kJ/mol of atoms above it.

=====

Arrangement i

YHo3Al: optimized geometry, GGA-PBE.

- density of states at the Fermi level (states/eV/f.u.) = 7.18
- space-group type = C2/c, No. 15

```
data_YHo3Al
_chemical_formula_sum 'Y4 Ho12 Al4'
_cell_length_a 6.656
_cell_length_b 9.463
_cell_length_c 9.463
_cell_angle_alpha 90.42
_cell_angle_beta 96.31
_cell_angle_gamma 96.31
_symmetry_space_group_name_H-M 'P 1'
_symmetry_Int_Tables_number 1
_symmetry_space_group_name_Hall 'P 1'
loop_
_atom_site_label
_atom_site_type_symbol
_atom_site_fract_x
_atom_site_fract_y
_atom_site_fract_z
_atom_site_occupancy
Y1 Y 0.867 0.574 0.209 1
Y2 Y 0.633 0.791 0.426 1
Y3 Y 0.133 0.426 0.791 1
Y4 Y 0.367 0.209 0.574 1
Ho1 Ho 0.517 0.307 0.992 1
Ho2 Ho 0.983 0.008 0.693 1
Ho3 Ho 0.483 0.693 0.008 1
Ho4 Ho 0.017 0.992 0.307 1
Ho5 Ho 0.975 0.737 0.902 1
Ho6 Ho 0.525 0.098 0.263 1
Ho7 Ho 0.025 0.263 0.098 1
Ho8 Ho 0.475 0.902 0.737 1
Ho9 Ho 0.384 0.470 0.321 1
Ho10 Ho 0.116 0.679 0.530 1
Ho11 Ho 0.616 0.530 0.679 1
Ho12 Ho 0.884 0.321 0.470 1
Al1 Al 0.250 0.004 0.996 1
Al2 Al 0.750 0.996 0.004 1
Al3 Al 0.250 0.777 0.223 1
Al4 Al 0.750 0.223 0.777 1
```

=====

Arrangement ii

YHo3Al: optimized geometry, GGA-PBE.

- density of states at the Fermi level (states/eV/f.u.) = 6.18
- space-group type = C2/m, No. 12

```
data_YHo3Al
_chemical_formula_sum 'Y2 Ho6 Al2'
_cell_length_a 3.569
_cell_length_b 6.708
_cell_length_c 12.393
_cell_angle_alpha 84.60
_cell_angle_beta 90.00
_cell_angle_gamma 74.57
_symmetry_space_group_name_H-M 'P 1'
_symmetry_Int_Tables_number 1
_symmetry_space_group_name_Hall 'P 1'
loop_
_atom_site_label
_atom_site_type_symbol
_atom_site_fract_x
_atom_site_fract_y
_atom_site_fract_z
_atom_site_occupancy
Y1 Y 0.224 0.553 0.748 1
Y2 Y 0.776 0.447 0.252 1
Ho1 Ho 0.141 0.718 0.451 1
Ho2 Ho 0.365 0.271 0.018 1
Ho3 Ho 0.033 0.934 0.194 1
Ho4 Ho 0.859 0.282 0.549 1
Ho5 Ho 0.967 0.066 0.806 1
Ho6 Ho 0.635 0.729 0.982 1
Al1 Al 0.550 0.901 0.622 1
Al2 Al 0.450 0.099 0.378 1
```

=====

The data favor arrangement ii; the next most stable structure lies 16.7 kJ/mol of atoms above it.

=====

Arrangement i

HoAl3Zn3: optimized geometry, GGA-PBE.

- density of states at the Fermi level (states/eV/f.u.) = 3.03
- space-group type = R-3, No. 148

```
data_HoAl3Zn3
_chemical_formula_sum 'Ho2 Al6 Zn6'
_cell_length_a 7.753
_cell_length_b 7.753
_cell_length_c 6.873
_cell_angle_alpha 55.67
_cell_angle_beta 55.67
_cell_angle_gamma 60.00
_symmetry_space_group_name_H-M 'P 1'
_symmetry_Int_Tables_number 1
_symmetry_space_group_name_Hall 'P 1'
loop_
_atom_site_label
_atom_site_type_symbol
_atom_site_fract_x
_atom_site_fract_y
_atom_site_fract_z
_atom_site_occupancy
Ho1 Ho 0.321 0.321 0.036 1
Ho2 Ho 0.679 0.679 0.964 1
Al1 Al 0.459 0.784 0.625 1
Al2 Al 0.784 0.132 0.625 1
Al3 Al 0.132 0.459 0.625 1
Al4 Al 0.868 0.541 0.375 1
Al5 Al 0.216 0.868 0.375 1
Al6 Al 0.541 0.216 0.375 1
Zn1 Zn 0.224 0.683 0.146 1
Zn2 Zn 0.947 0.224 0.146 1
Zn3 Zn 0.683 0.947 0.146 1
Zn4 Zn 0.317 0.053 0.854 1
Zn5 Zn 0.053 0.776 0.854 1
Zn6 Zn 0.776 0.317 0.854 1
```

=====

Arrangement ii

HoAl3Zn3: optimized geometry, GGA-PBE.

- density of states at the Fermi level (states/eV/f.u.) = 7.51
- space-group type = Fm-3m, No. 225

```
data_HoAl3Zn3
_chemical_formula_sum 'Ho2 Al6 Zn6'
_cell_length_a 8.374
_cell_length_b 8.374
_cell_length_c 8.374
_cell_angle_alpha 60.00
_cell_angle_beta 60.00
_cell_angle_gamma 60.00
_symmetry_space_group_name_H-M 'P 1'
_symmetry_Int_Tables_number 1
_symmetry_space_group_name_Hall 'P 1'
loop_
_atom_site_label
_atom_site_type_symbol
_atom_site_fract_x
_atom_site_fract_y
_atom_site_fract_z
_atom_site_occupancy
Ho1 Ho 0.250 0.250 0.250 1
Ho2 Ho 0.750 0.750 0.750 1
Al1 Al 0.156 0.844 0.844 1
Al2 Al 0.156 0.844 0.156 1
Al3 Al 0.156 0.156 0.844 1
Al4 Al 0.844 0.156 0.844 1
Al5 Al 0.844 0.156 0.156 1
Al6 Al 0.844 0.844 0.156 1
Zn1 Zn 0.350 0.650 0.350 1
Zn2 Zn 0.350 0.650 0.650 1
Zn3 Zn 0.350 0.350 0.650 1
Zn4 Zn 0.650 0.350 0.650 1
Zn5 Zn 0.650 0.350 0.350 1
Zn6 Zn 0.650 0.650 0.350 1
```

=====

The data favor arrangement i; the next most stable structure lies 72.2 kJ/mol of atoms above it.

=====

Arrangement i

Ho3AlZn: optimized geometry, GGA-PBE.

- density of states at the Fermi level (states/eV/f.u.) = 5.66
- space-group type = Cmcm, No. 63

```
data_Ho3AlZn
_chemical_formula_sum 'Ho6 Al2 Zn2'
_cell_length_a 3.545
_cell_length_b 8.106
_cell_length_c 9.767
_cell_angle_alpha 90.00
_cell_angle_beta 90.00
_cell_angle_gamma 102.63
_symmetry_space_group_name_H-M 'P 1'
_symmetry_Int_Tables_number 1
_symmetry_space_group_name_Hall 'P 1'
loop_
_atom_site_label
_atom_site_type_symbol
_atom_site_fract_x
_atom_site_fract_y
_atom_site_fract_z
_atom_site_occupancy
Ho1 Ho 0.091 0.182 0.750 1
Ho2 Ho 0.909 0.818 0.250 1
Ho3 Ho 0.351 0.702 0.555 1
Ho4 Ho 0.649 0.298 0.445 1
Ho5 Ho 0.649 0.298 0.055 1
Ho6 Ho 0.351 0.702 0.945 1
Al1 Al 0.257 0.513 0.250 1
Al2 Al 0.743 0.487 0.750 1
Zn1 Zn 0.000 0.000 0.500 1
Zn2 Zn 0.000 0.000 0.000 1
```

=====

Arrangement ii

Ho3AlZn: optimized geometry, GGA-PBE.

- density of states at the Fermi level (states/eV/f.u.) = 4.00
- space-group type = Cmcm, No. 63

```
data_Ho3AlZn
_chemical_formula_sum 'Ho6 Al2 Zn2'
_cell_length_a 5.023
_cell_length_b 5.023
_cell_length_c 10.177
_cell_angle_alpha 90.00
_cell_angle_beta 75.71
_cell_angle_gamma 90.00
_symmetry_space_group_name_H-M 'P 1'
_symmetry_Int_Tables_number 1
_symmetry_space_group_name_Hall 'P 1'
loop_
_atom_site_label
_atom_site_type_symbol
_atom_site_fract_x
_atom_site_fract_y
_atom_site_fract_z
_atom_site_occupancy
Ho1 Ho 0.757 0.250 0.134 1
Ho2 Ho 0.392 0.250 0.864 1
Ho3 Ho 0.574 0.250 0.500 1
Ho4 Ho 0.256 0.750 0.136 1
Ho5 Ho 0.891 0.750 0.866 1
Ho6 Ho 0.074 0.750 0.500 1
Al1 Al 0.665 0.750 0.319 1
Al2 Al 0.984 0.250 0.681 1
Zn1 Zn 0.484 0.750 0.680 1
Zn2 Zn 0.164 0.250 0.320 1
```

=====

The data favor arrangement ii; the next most stable structure lies 18.7 kJ/mol of atoms above it.

=====

Arrangement i

HoAl2Zn10: optimized geometry, GGA-PBE.

- density of states at the Fermi level (states/eV/f.u.) = 3.92
- space-group type = P-1, No. 2

```
data_HoAl2Zn10
_chemical_formula_sum 'Ho1 Al2 Zn10'
_cell_length_a 5.385
_cell_length_b 6.780
_cell_length_c 6.765
_cell_angle_alpha 81.22
_cell_angle_beta 67.13
_cell_angle_gamma 66.80
_symmetry_space_group_name_H-M 'P 1'
_symmetry_Int_Tables_number 1
_symmetry_space_group_name_Hall 'P 1'
loop_
_atom_site_label
_atom_site_type_symbol
_atom_site_fract_x
_atom_site_fract_y
_atom_site_fract_z
_atom_site_occupancy
Ho1 Ho 0.000 0.000 0.000 1
Al1 Al 0.000 0.500 0.000 1
Al2 Al 0.500 0.500 0.000 1
Zn1 Zn 0.354 0.647 0.645 1
Zn2 Zn 0.646 0.353 0.355 1
Zn3 Zn 0.999 0.353 0.646 1
Zn4 Zn 0.001 0.647 0.354 1
Zn5 Zn 0.000 0.000 0.500 1
Zn6 Zn 0.500 0.000 0.500 1
Zn7 Zn 0.284 0.212 0.217 1
Zn8 Zn 0.716 0.788 0.783 1
Zn9 Zn 0.497 0.787 0.217 1
Zn10 Zn 0.503 0.213 0.783 1
```

=====

Arrangement ii

HoAl2Zn10: optimized geometry, GGA-PBE.

- density of states at the Fermi level (states/eV/f.u.) = 2.69
- space-group type = Cmcm, No. 63

```
data_HoAl2Zn10
_chemical_formula_sum 'Ho2 Al4 Zn20'
_cell_length_a 6.874
_cell_length_b 6.874
_cell_length_c 8.976
_cell_angle_alpha 90.00
_cell_angle_beta 90.00
_cell_angle_gamma 99.87
_symmetry_space_group_name_H-M 'P 1'
_symmetry_Int_Tables_number 1
_symmetry_space_group_name_Hall 'P 1'
loop_
_atom_site_label
_atom_site_type_symbol
_atom_site_fract_x
_atom_site_fract_y
_atom_site_fract_z
_atom_site_occupancy
Ho1 Ho 0.866 0.134 0.750 1
Ho2 Ho 0.134 0.866 0.250 1
Al1 Al 0.500 0.000 0.000 1
Al2 Al 0.500 0.000 0.500 1
Al3 Al 0.000 0.500 0.500 1
Al4 Al 0.000 0.500 0.000 1
Zn1 Zn 0.388 0.145 0.750 1
Zn2 Zn 0.612 0.855 0.250 1
Zn3 Zn 0.855 0.612 0.750 1
Zn4 Zn 0.145 0.388 0.250 1
Zn5 Zn 0.521 0.770 0.750 1
Zn6 Zn 0.479 0.230 0.250 1
Zn7 Zn 0.230 0.479 0.750 1
Zn8 Zn 0.770 0.521 0.250 1
Zn9 Zn 0.851 0.149 0.396 1
Zn10 Zn 0.149 0.851 0.896 1
Zn11 Zn 0.851 0.149 0.104 1
Zn12 Zn 0.149 0.851 0.604 1
Zn13 Zn 0.612 0.388 0.937 1
Zn14 Zn 0.388 0.612 0.437 1
Zn15 Zn 0.612 0.388 0.563 1
Zn16 Zn 0.388 0.612 0.063 1
Zn17 Zn 0.778 0.778 0.000 1
Zn18 Zn 0.222 0.222 0.500 1
Zn19 Zn 0.222 0.222 0.000 1
Zn20 Zn 0.778 0.778 0.500 1
```

=====

The data favor arrangement i; the next most stable structure lies 0.5 kJ/mol of atoms above it.